This record from Alexandria via LeMat-Bulk describes an optimized crystal structure of LiZnCu2. The functional is PBE.

The space group is Immm (No. 71) and the conventional cell measures 2.561, 4.452 and 9.828 Å, with angles of 90.00, 90.00 and 90.00 degrees. The distinct sites, in fractional coordinates, are Li at (0.000, 0.000, 0.000), Zn at (0.000, 0.000, 0.500) and Cu at (0.000, 0.000, 0.253).

As for the calculated volume: 14.01 Å³/atom. The formation energy comes out at 139 meV per atom.